Compound: CrAuO3
Source: Alexandria
Functional: PBE+U
Structure: optimized geometry

Summary:
theoretical density	7.6	g/cm³
VASP energy	-4.873	eV/atom

a = 4.016 Å, b = 4.016 Å, c = 4.016 Å
α = 90.00°, β = 90.00°, γ = 90.00°
Positions (direct):
Cr  0.000  0.000  0.000
Au  0.500  0.500  0.500
O  0.000  0.500  0.500
O  0.500  0.000  0.500
O  0.500  0.500  0.000